# SrTeC2S

A geometry-optimized SrTeC2S structure (PBE, Alexandria via LeMat-Bulk).

Unit cell a=4.6096 b=6.9408 c=4.6096 alpha=90.00 beta=90.00 gamma=90.00
With the nearest neighbours (Å) after each atom.
Fractional coordinates of all 5 atoms:
Sr 0.0000 0.0000 0.0000  4 C 2.30
S 0.5000 0.5000 0.5000  4 Te 3.26
Te 0.0000 0.5000 0.0000  4 S 3.26, 2 Sr 3.47
C 0.0000 0.0000 0.5000  2 Sr 2.30
C 0.5000 0.0000 0.0000  2 Sr 2.30

Results
Crystal system   tetragonal
Uncorrected formation energy   2.58 eV/atom
V   29.50 Å³/atom
Fermi-level density of states   6.10 states/eV per cell